Compound: CsIn5Hg7
Source: Alexandria via LeMat-Bulk
Functional: PBE
Structure: relaxed

Cell and atoms, written as POSCAR:
```
CsIn5Hg7
1.0
5.8470 -0.1541 2.2352
2.7577 7.7985 1.0386
-0.2381 -0.0617 8.3330
Hg In Cs
7 5 1
direct
0.0091 0.3444 0.6444
0.0091 0.6444 0.3444
0.2805 0.2282 0.2282
0.6509 0.3684 0.3684
0.3366 0.6578 0.6578
0.4923 0.7773 0.2277
0.4923 0.2277 0.7773
0.9907 0.4993 0.0108
0.4933 0.5025 0.0035
0.9907 0.0108 0.4993
0.7717 0.7316 0.7316
0.4933 0.0035 0.5025
0.9894 0.0042 0.0042
```

* M_tot: 0.0 Bohr magnetons per cell
* crystal system: monoclinic
* ρ: 9042 kg/m³
* ΔH_f (0 K): -0.048 eV per atom
* SG: No. 8